First-principles (PBE+U) data for an optimized crystal structure of CaW2O5, as listed in Alexandria via LeMat-Bulk.

Properties
- space group = No. 63
- polymorph energy (0 for the lowest one) (meV/atom) = 143

Lattice parameters (Å, degrees): 5.9048 5.9048 11.7469 90.00 90.00 137.78
Last column: nearest neighbours and their distance in Å.
Sites, in units of the cell vectors:
Ca 0.0980 0.9020 0.7500  4 O 2.16-2.41
Ca 0.9020 0.0980 0.2500  4 O 2.16-2.41
W 0.2067 0.7933 0.0956  3 O 1.86-2.08
W 0.2067 0.7933 0.4044  3 O 1.86-2.08
W 0.7933 0.2067 0.5956  3 O 1.86-2.08
W 0.7933 0.2067 0.9044  3 O 1.86-2.08
O 0.0400 0.9600 0.1191  1 W 1.86
O 0.0400 0.9600 0.3809  1 W 1.86
O 0.2570 0.7430 0.5732  3 W 2.06-2.18
O 0.2570 0.7430 0.9268  3 W 2.06-2.18
O 0.2985 0.7015 0.2500  2 W 2.08
O 0.7015 0.2985 0.7500  2 W 2.08
O 0.7430 0.2570 0.0732  3 W 2.06-2.18
O 0.7430 0.2570 0.4268  3 W 2.06-2.18
O 0.9600 0.0400 0.6191  1 W 1.86
O 0.9600 0.0400 0.8809  1 W 1.86